Computed, not measured: an optimized crystal structure of Ca2Mo3O8 at the PBE with a Hubbard U level of DFT.

Geometry as POSCAR:
```
Ca2Mo3O8
1.0
6.4539 0.0000 0.0000
-3.2270 5.5892 0.0000
0.0000 0.0000 10.3662
Ca Mo O
4 6 16
Cartesian
0.0000 3.7262 0.0000 Ca
0.0000 3.7262 4.0265 Ca
3.2270 1.8631 5.1831 Ca
3.2270 1.8631 9.2096 Ca
0.0000 1.8334 7.4349 Mo
-1.6392 4.6725 7.4349 Mo
1.5878 0.9167 2.2518 Mo
1.6392 4.6725 7.4349 Mo
4.8661 0.9167 2.2518 Mo
3.2269 3.7558 2.2518 Mo
0.0000 0.0000 3.3222 O
0.0000 0.0000 8.5053 O
-1.3683 2.9361 8.5743 O
0.0000 1.7957 1.3347 O
-1.6718 4.6914 1.3347 O
1.5552 0.8979 6.5178 O
0.0000 3.7262 6.3110 O
1.3683 2.9361 8.5743 O
0.0000 5.3062 8.5743 O
3.2269 0.2831 3.3912 O
1.8586 2.6531 3.3912 O
3.2270 1.8631 1.1279 O
1.6718 4.6914 1.3347 O
4.8987 0.8979 6.5178 O
3.2270 3.7935 6.5178 O
4.5953 2.6531 3.3912 O
```

V: 373.93 Å³ per cell
ρ: 4.4 Mg/m³
Energy relative to the lowest polymorph listed for this composition: 0.0 meV per atom
Magnetic moment: 12.0 μB/cell
Electronic total energy: -7.144 eV/atom